(1)
! NaSmTm4Se8 PBE relaxed; values from VASP
! **Electronic total energy**: -0.2003 Ha/atom
! **ΔE_f (raw)**: -1752 meV/atom
! **Density of states at the Fermi level**: 0.00 states/eV per cell
&SYSTEM
  ibrav = 0, nat = 14, ntyp = 4
/
ATOMIC_SPECIES
Na 22.99 Na.upf
Sm 150.36 Sm.upf
Tm 168.93 Tm.upf
Se 78.96 Se.upf
CELL_PARAMETERS angstrom
4.1836 2.4154 6.9412
-4.1836 2.4154 6.9412
0.0000 -4.8308 6.9412
ATOMIC_POSITIONS crystal
Na 0.0000 0.0000 0.0000
Sm 0.3679 0.3679 0.3679
Tm 0.3676 0.3676 0.8877
Tm 0.3676 0.8877 0.3676
Tm 0.7467 0.7467 0.7467
Tm 0.8877 0.3676 0.3676
Se 0.1276 0.1276 0.5942
Se 0.1276 0.5942 0.1276
Se 0.1336 0.1336 0.1336
Se 0.1439 0.6196 0.6196
Se 0.5942 0.1276 0.1276
Se 0.6143 0.6143 0.6143
Se 0.6196 0.1439 0.6196
Se 0.6196 0.6196 0.1439

=====

(2)
! Na4SmTm3Se8 PBE relaxed; values from VASP
! **Electronic total energy**: -0.1801 Ha/atom
! **ΔE_f (raw)**: -1696 meV/atom
! **Density of states at the Fermi level**: 0.00 states/eV per cell
&SYSTEM
  ibrav = 0, nat = 16, ntyp = 4
/
ATOMIC_SPECIES
Na 22.99 Na.upf
Sm 150.36 Sm.upf
Tm 168.93 Tm.upf
Se 78.96 Se.upf
CELL_PARAMETERS angstrom
4.1304 2.3847 7.0072
-4.1304 2.3847 7.0072
0.0000 -4.7694 7.0072
ATOMIC_POSITIONS crystal
Na 0.0000 0.0000 0.0000
Na 0.0000 0.5000 0.5000
Na 0.5000 0.0000 0.5000
Na 0.5000 0.5000 0.0000
Sm 0.5000 0.5000 0.5000
Tm 0.0000 0.0000 0.5000
Tm 0.0000 0.5000 0.0000
Tm 0.5000 0.0000 0.0000
Se 0.2359 0.7467 0.7467
Se 0.2419 0.2419 0.2419
Se 0.2533 0.2533 0.7641
Se 0.2533 0.7641 0.2533
Se 0.7467 0.2359 0.7467
Se 0.7467 0.7467 0.2359
Se 0.7581 0.7581 0.7581
Se 0.7641 0.2533 0.2533

=====

(3)
! Na3SmTm2Se6 PBE relaxed; values from VASP
! **Electronic total energy**: -0.1803 Ha/atom
! **ΔE_f (raw)**: -1696 meV/atom
! **Density of states at the Fermi level**: 0.00 states/eV per cell
&SYSTEM
  ibrav = 0, nat = 12, ntyp = 4
/
ATOMIC_SPECIES
Na 22.99 Na.upf
Sm 150.36 Sm.upf
Tm 168.93 Tm.upf
Se 78.96 Se.upf
CELL_PARAMETERS angstrom
3.5868 -6.2135 0.0000
3.5868 6.2135 0.0000
-2.3946 0.0000 7.0070
ATOMIC_POSITIONS crystal
Na 0.0000 0.0000 0.0000
Na 0.3347 0.6653 0.0000
Na 0.6653 0.3347 0.0000
Sm 0.5000 0.5000 0.5000
Tm 0.1669 0.8331 0.5000
Tm 0.8331 0.1669 0.5000
Se 0.0822 0.4236 0.2712
Se 0.2349 0.2349 0.7292
Se 0.4236 0.0822 0.2712
Se 0.5764 0.9178 0.7288
Se 0.7651 0.7651 0.2708
Se 0.9178 0.5764 0.7288

=====

(4)
! NaSm2TmSe4 PBE relaxed; values from VASP
! **Electronic total energy**: -0.1975 Ha/atom
! **ΔE_f (raw)**: -1728 meV/atom
! **Density of states at the Fermi level**: 2.75 states/eV per cell
&SYSTEM
  ibrav = 0, nat = 8, ntyp = 4
/
ATOMIC_SPECIES
Na 22.99 Na.upf
Sm 150.36 Sm.upf
Tm 168.93 Tm.upf
Se 78.96 Se.upf
CELL_PARAMETERS angstrom
7.1645 0.0000 0.0000
0.0000 4.1105 0.0000
-2.3380 0.0000 6.7918
ATOMIC_POSITIONS crystal
Na 0.0000 0.0000 0.0000
Sm 0.0000 0.5000 0.5000
Sm 0.5000 0.0000 0.5000
Tm 0.5000 0.5000 0.0000
Se 0.2539 0.5000 0.2443
Se 0.2568 0.0000 0.7619
Se 0.7432 0.0000 0.2381
Se 0.7461 0.5000 0.7557

=====

> The lowest ΔE_f (raw) belongs to which entry?

NaSmTm4Se8

=====

> The lowest electronic total energy belongs to which entry?

NaSmTm4Se8